# 1
Compound: Sr2TaMn
Source: Alexandria
Functional: PBE-GGA
Structure: optimized geometry

Output
Calculated total energy in eV/atom: -5.472

Cell: 3.4759 3.7688 18.7906 Å, 90.00 90.00 90.00°
With the nearest neighbours (Å) after each atom.
Space group Immm (No. 71)
Unique sites:
Sr1 0.0000 0.0000 0.1548 x4  2 Mn 3.39, 2 Ta 3.47, 4 Sr 3.48-3.77
Ta1 0.0000 0.5000 0.0000 x2  4 Mn 2.56
Mn1 0.0000 0.5000 0.5000 x2  4 Ta 2.56

# 2
Compound: Ba2NaSrGe
Source: Alexandria
Functional: PBE-GGA
Structure: optimized geometry

Output
Calculated total energy in eV/atom: -2.485

Cell: 6.5877 6.5877 6.2016 Å, 90.00 90.00 90.00°
With the nearest neighbours (Å) after each atom.
Space group P4/mmm (No. 123)
Unique sites:
Ba1 0.0000 0.5000 0.0000 x2  2 Ge 3.29
Na1 0.0000 0.0000 0.5000 x1  8 Ba 4.52, 4 Sr 4.66
Sr1 0.5000 0.5000 0.5000 x1  2 Ge 3.10
Ge1 0.5000 0.5000 0.0000 x1  2 Sr 3.10, 4 Ba 3.29

# 3
Compound: KCoS3
Source: Alexandria
Functional: PBE-GGA
Structure: optimized geometry

Output
Raw formation energy in meV/atom: -427.2

Cell: 6.1979 6.1979 20.2238 Å, 90.00 90.00 120.00°
With the nearest neighbours (Å) after each atom.
Space group R-3m (No. 166, hexagonal axes)
Unique sites:
K1 0.0000 0.0000 0.1142 x6  9 S 3.25-3.56
Co1 0.0000 0.0000 0.3343 x6  6 S 2.24
S1 0.0026 0.5013 0.9336 x18  2 Co 2.24

# 4
Compound: InHg11Pb17
Source: Alexandria
Functional: PBE-GGA
Structure: optimized geometry

Output
Calculated total energy in eV/atom: -2.346

Cell: 11.6895 17.0083 10.2318 Å, 90.00 124.61 90.00°
With the nearest neighbours (Å) after each atom.
Space group Cm (No. 8)
Unique sites:
In1 0.0000 0.0000 0.0000 x2  3 Hg 3.05-3.12, 1 Pb 3.28
Hg1 0.0631 0.3120 0.3759 x4  3 Hg 3.12-3.18, 6 Pb 3.28-3.46
Hg2 0.0898 0.0956 0.8125 x4  2 Hg 3.08-3.25, 1 In 3.12, 4 Pb 3.25-3.44
Hg3 0.1549 0.4097 0.1912 x4  3 Hg 3.07-3.20, 3 Pb 3.24-3.37
Hg4 0.1797 0.0000 0.3622 x2  1 In 3.05, 2 Hg 3.19, 3 Pb 3.24-3.36
Hg5 0.3681 0.1850 0.9982 x4  3 Hg 3.08-3.20, 4 Pb 3.27-3.39
Hg6 0.4662 0.0938 0.5584 x4  3 Hg 3.12-3.19, 6 Pb 3.25-3.47
Pb1 0.0729 0.2993 0.8776 x4  5 Hg 3.27-3.56, 7 Pb 3.44-3.60
Pb2 0.1793 0.5000 0.8998 x2  1 In 3.28, 4 Hg 3.33-3.51, 7 Pb 3.40-3.63
Pb3 0.2099 0.1700 0.1902 x4  5 Hg 3.39-3.51, 4 Pb 3.40-3.48, 1 In 3.57
Pb4 0.2108 0.5000 0.5352 x2  6 Hg 3.40-3.56, 4 Pb 3.40-3.50
Pb5 0.2184 0.1541 0.5890 x4  5 Hg 3.25-3.54, 7 Pb 3.39-3.61
Pb6 0.3064 0.3410 0.7777 x4  4 Hg 3.29-3.46, 7 Pb 3.40-3.63, 1 In 3.43
Pb7 0.3635 0.0000 0.8434 x2  4 Pb 3.39-3.46, 6 Hg 3.44-3.59
Pb8 0.3738 0.0000 0.1880 x2  4 Pb 3.46-3.50, 11 Hg 3.60-3.74, 1 In 3.64
Pb9 0.3910 0.2968 0.4999 x4  5 Hg 3.25-3.53, 7 Pb 3.40-3.63
Pb10 0.4177 0.3567 0.1842 x4  4 Hg 3.24-3.51, 7 Pb 3.41-3.62, 1 In 3.53
Pb11 0.4719 0.5000 0.4760 x2  5 Hg 3.24-3.51, 5 Pb 3.43-3.62

Volume across the listed records, respectively: 30.8 53.8 22.4 28.9 Å³/atom.